(1)
Mn2SeCl: optimized geometry, PBE.

Unit cell a=3.604 b=3.604 c=7.210 alpha=90.00 beta=90.00 gamma=117.61
Last column: magnetic moment on the atom in μB.
Fractional positions:
1 Cl 0.500 0.500 0.750  0.06
2 Mn 0.000 0.000 0.018  4.05
3 Mn 0.000 0.000 0.482  4.05
4 Se 0.500 0.500 0.250  0.14

Properties
As for the energy: -5.9600 eV/atom. The calculated density comes out at 4.5 g/cm3. As for the symmetry: Cmmm (65). Its energy above the most stable polymorph in this dataset is 287.2 meV/atom. As for the uncorrected formation energy: -1.0 kcal/mol of atoms.

=====

(2)
TbPrRuAu: optimized geometry, PBE.

Unit cell a=5.066 b=5.066 c=5.066 alpha=60.00 beta=60.00 gamma=60.00
Fractional positions:
1 Tb 0.500 0.500 0.500
2 Au 0.250 0.250 0.250
3 Pr 0.000 0.000 0.000
4 Ru 0.750 0.750 0.750

Properties
The formation enthalpy at 0 K is -0.456 eV/atom. As for the energy: -5.9468 eV/atom. The calculated density comes out at 10.8 g/cm3. As for the symmetry: F-43m (216).

=====

(3)
CdSbN3: optimized geometry, PBE.

Unit cell a=4.192 b=4.192 c=4.192 alpha=90.00 beta=90.00 gamma=90.00
Last column: magnetic moment on the atom in μB.
Fractional positions:
1 N 0.000 0.000 0.500  0.59
2 N 0.000 0.500 0.000  0.73
3 N 0.500 0.000 0.000  0.67
4 Cd 0.000 0.000 0.000  0.05
5 Sb 0.500 0.500 0.500  -0.16

Properties
As for the energy: -3.8167 eV/atom. The calculated density comes out at 6.2 g/cm3. As for the symmetry: Pm-3m (221). As for the uncorrected formation energy: 50.4 kcal/mol of atoms.

=====

(4)
Li10Mg3Zn3: optimized geometry, PBE.

Unit cell a=5.288 b=8.090 c=8.090 alpha=120.00 beta=90.00 gamma=90.00
Fractional positions:
1 Li 0.000 0.227 0.000
2 Li 0.732 0.667 0.333
3 Li 0.268 0.333 0.667
4 Li 0.500 0.000 0.763
5 Li 0.268 0.667 0.333
6 Li 0.500 0.237 0.237
7 Li 0.000 0.773 0.773
8 Li 0.500 0.763 0.000
9 Li 0.732 0.333 0.667
10 Li 0.000 0.000 0.227
11 Mg 0.000 0.421 0.421
12 Mg 0.000 0.000 0.579
13 Mg 0.000 0.579 0.000
14 Zn 0.500 0.000 0.403
15 Zn 0.500 0.403 0.000
16 Zn 0.500 0.597 0.597

Properties
The formation enthalpy at 0 K is -0.032 eV/atom. As for the energy: -1.7664 eV/atom. The calculated density comes out at 1.9 g/cm3. As for the symmetry: P-62m (189).

=====

(5)
Mn2MoRu: optimized geometry, PBE.

Unit cell a=8.793 b=8.793 c=8.793 alpha=17.62 beta=17.62 gamma=17.62
Last column: magnetic moment on the atom in μB.
Fractional positions:
1 Mo 0.500 0.500 0.500  0.11
2 Mn 0.996 0.996 0.996  2.27
3 Mn 0.256 0.256 0.256  -2.04
4 Ru 0.747 0.747 0.747  0.03

Properties
The formation enthalpy at 0 K is 0.202 eV/atom. As for the energy: -9.4093 eV/atom. The calculated density comes out at 9.4 g/cm3. As for the symmetry: R3m (160).

=====

(6)
CdReCl2: optimized geometry, PBE.

Unit cell a=3.082 b=3.082 c=8.248 alpha=90.00 beta=90.00 gamma=90.00
Fractional positions:
1 Cl 0.000 0.000 0.952
2 Cl 0.500 0.500 0.331
3 Re 0.000 0.000 0.478
4 Cd 0.500 0.500 0.739

Properties
As for the energy: -3.9573 eV/atom. The calculated density comes out at 7.8 g/cm3. As for the symmetry: P4mm (99). Its energy above the most stable polymorph in this dataset is 278.0 meV/atom. As for the uncorrected formation energy: 7.1 kcal/mol of atoms.

=====

(7)
RbAcCl: optimized geometry, PBE.

Unit cell a=4.124 b=5.497 c=12.318 alpha=116.50 beta=99.50 gamma=90.00
Last column: magnetic moment on the atom in μB.
Fractional positions:
1 Cl 0.431 0.618 0.868  0.01
2 Cl 0.569 0.382 0.132  0.01
3 Rb 0.074 0.891 0.141  0.01
4 Rb 0.926 0.109 0.859  0.01
5 Ac 0.292 0.335 0.585  0.13
6 Ac 0.708 0.665 0.415  0.13

Properties
As for the energy: -3.3490 eV/atom. The calculated density comes out at 4.7 g/cm3. As for the symmetry: P2_1/m (11). As for the uncorrected formation energy: -24.0 kcal/mol of atoms.

=====

(8)
ZnAgHRh2: optimized geometry, PBE.

Unit cell a=3.938 b=3.938 c=4.054 alpha=90.00 beta=90.00 gamma=90.00
Last column: magnetic moment on the atom in μB.
Fractional positions:
1 Zn 0.500 0.500 0.500  0.00
2 H 0.000 0.000 0.000  0.00
3 Rh 0.500 0.000 0.000  0.08
4 Rh 0.000 0.500 0.000  0.08
5 Ag 0.000 0.000 0.500  0.01

Properties
As for the energy: -4.4277 eV/atom. The calculated density comes out at 10.0 g/cm3. As for the symmetry: P4/mmm (123). Its energy above the most stable polymorph in this dataset is 0.0 meV/atom.